# Sr3Sn5Te12

A relaxed structure of Sr3Sn5Te12 (PBE, Alexandria via LeMat-Bulk).

Properties
Volume in A^3/atom: 38.6
Formation energy from raw total energies in eV/atom: -0.571
M_tot in μB/f.u.: 0.0

Cell lengths 15.887, 15.887, 15.887 Å; angles 109.47, 109.47, 109.47 degrees
Fractional positions:
Sr: 0.125 0.250 0.375
Sr: 0.125 0.375 0.750
Sr: 0.250 0.375 0.125
Sr: 0.250 0.875 0.625
Sr: 0.375 0.125 0.250
Sr: 0.375 0.750 0.125
Sr: 0.625 0.250 0.875
Sr: 0.625 0.875 0.750
Sr: 0.750 0.125 0.375
Sr: 0.750 0.625 0.875
Sr: 0.875 0.625 0.250
Sr: 0.875 0.750 0.625
Sn: 0.000 0.000 0.000
Sn: 0.000 0.000 0.500
Sn: 0.000 0.500 0.000
Sn: 0.000 0.500 0.500
Sn: 0.125 0.750 0.875
Sn: 0.125 0.875 0.250
Sn: 0.250 0.125 0.875
Sn: 0.250 0.625 0.375
Sn: 0.375 0.250 0.625
Sn: 0.375 0.625 0.750
Sn: 0.500 0.000 0.000
Sn: 0.500 0.000 0.500
Sn: 0.500 0.500 0.000
Sn: 0.500 0.500 0.500
Sn: 0.625 0.375 0.250
Sn: 0.625 0.750 0.375
Sn: 0.750 0.375 0.625
Sn: 0.750 0.875 0.125
Sn: 0.875 0.125 0.750
Sn: 0.875 0.250 0.125
Te: 0.039 0.215 0.128
Te: 0.039 0.324 0.911
Te: 0.087 0.715 0.676
Te: 0.087 0.872 0.411
Te: 0.089 0.628 0.413
Te: 0.089 0.961 0.676
Te: 0.128 0.039 0.215
Te: 0.128 0.589 0.913
Te: 0.176 0.215 0.587
Te: 0.176 0.461 0.589
Te: 0.215 0.128 0.039
Te: 0.215 0.587 0.176
Te: 0.285 0.324 0.913
Te: 0.285 0.461 0.372
Te: 0.324 0.911 0.039
Te: 0.324 0.913 0.285
Te: 0.372 0.285 0.461
Te: 0.372 0.587 0.911
Te: 0.411 0.087 0.872
Te: 0.411 0.824 0.539
Te: 0.413 0.089 0.628
Te: 0.413 0.824 0.785
Te: 0.461 0.372 0.285
Te: 0.461 0.589 0.176
Te: 0.539 0.411 0.824
Te: 0.539 0.628 0.715
Te: 0.587 0.176 0.215
Te: 0.587 0.911 0.372
Te: 0.589 0.176 0.461
Te: 0.589 0.913 0.128
Te: 0.628 0.413 0.089
Te: 0.628 0.715 0.539
Te: 0.676 0.087 0.715
Te: 0.676 0.089 0.961
Te: 0.715 0.539 0.628
Te: 0.715 0.676 0.087
Te: 0.785 0.413 0.824
Te: 0.785 0.872 0.961
Te: 0.824 0.539 0.411
Te: 0.824 0.785 0.413
Te: 0.872 0.411 0.087
Te: 0.872 0.961 0.785
Te: 0.911 0.039 0.324
Te: 0.911 0.372 0.587
Te: 0.913 0.128 0.589
Te: 0.913 0.285 0.324
Te: 0.961 0.676 0.089
Te: 0.961 0.785 0.872


# BaScBi2

A relaxed structure of BaScBi2 (PBE, Alexandria via LeMat-Bulk).

Properties
Uncorrected energy in eV/atom: -4.461
Volume in A^3/atom: 32.7
M_tot in μB/f.u.: 0.0

Cell lengths 5.698, 5.698, 5.698 Å; angles 60.00, 60.00, 60.00 degrees
Fractional positions:
Ba: 0.000 0.000 0.000
Sc: 0.500 0.500 0.500
Bi: 0.250 0.250 0.250
Bi: 0.750 0.750 0.750


# ZnAg3Pd4

A relaxed structure of ZnAg3Pd4 (PBE, Alexandria via LeMat-Bulk).

Properties
Uncorrected energy in eV/atom: -3.978
Volume in A^3/atom: 16.1
M_tot in μB/f.u.: 0.0

Cell lengths 8.179, 8.179, 8.179 Å; angles 150.99, 150.99, 41.49 degrees
Fractional positions:
Zn: 0.000 0.000 0.000
Ag: 0.250 0.250 0.000
Ag: 0.500 0.500 0.000
Ag: 0.750 0.750 0.000
Pd: 0.120 0.620 0.500
Pd: 0.380 0.880 0.500
Pd: 0.620 0.120 0.500
Pd: 0.880 0.380 0.500


# Nd3MnTl3Se8

A relaxed structure of Nd3MnTl3Se8 (PBE, Alexandria via LeMat-Bulk).

Properties
Volume in A^3/atom: 31.7
Formation energy from raw total energies in eV/atom: -1.106
M_tot in μB/f.u.: 3.1

Cell lengths 9.200, 9.200, 9.200 Å; angles 54.11, 54.11, 54.11 degrees
Fractional positions:
Nd: 0.000 0.500 0.500
Nd: 0.500 0.000 0.500
Nd: 0.500 0.500 0.000
Mn: 0.000 0.000 0.000
Tl: 0.000 0.000 0.500
Tl: 0.000 0.500 0.000
Tl: 0.500 0.000 0.000
Se: 0.210 0.210 0.771
Se: 0.210 0.771 0.210
Se: 0.229 0.790 0.790
Se: 0.262 0.262 0.262
Se: 0.738 0.738 0.738
Se: 0.771 0.210 0.210
Se: 0.790 0.229 0.790
Se: 0.790 0.790 0.229


# Ba2Tl3CdIn4

A relaxed structure of Ba2Tl3CdIn4 (PBE, Alexandria via LeMat-Bulk).

Properties
Uncorrected energy in eV/atom: -2.564
Volume in A^3/atom: 32.1
M_tot in μB/f.u.: 0.0

Cell lengths 5.048, 5.048, 12.586 Å; angles 90.00, 90.00, 90.00 degrees
Fractional positions:
Ba: 0.000 0.500 0.246
Ba: 0.500 0.000 0.754
Tl: 0.000 0.000 0.000
Tl: 0.000 0.500 0.640
Tl: 0.500 0.000 0.360
Cd: 0.500 0.500 0.000
In: 0.000 0.000 0.500
In: 0.000 0.500 0.871
In: 0.500 0.000 0.129
In: 0.500 0.500 0.500


# AlSn2Cl

A relaxed structure of AlSn2Cl (PBE, Alexandria via LeMat-Bulk).

Properties
Volume in A^3/atom: 23.6
Formation energy from raw total energies in eV/atom: -0.018
M_tot in μB/f.u.: 0.0

Cell lengths 5.108, 5.108, 5.108 Å; angles 60.00, 60.00, 60.00 degrees
Fractional positions:
Al: 0.000 0.000 0.000
Sn: 0.250 0.250 0.250
Sn: 0.750 0.750 0.750
Cl: 0.500 0.500 0.500


# TaNiIr

A relaxed structure of TaNiIr (PBE, Alexandria via LeMat-Bulk).

Properties
Uncorrected energy in eV/atom: -9.292
Volume in A^3/atom: 14.6
M_tot in μB/f.u.: 0.0

Cell lengths 4.759, 4.759, 4.856 Å; angles 101.08, 101.08, 120.35 degrees
Fractional positions:
Ta: 0.109 0.891 0.750
Ta: 0.891 0.109 0.250
Ni: 0.240 0.760 0.250
Ni: 0.760 0.240 0.750
Ir: 0.427 0.573 0.750
Ir: 0.573 0.427 0.250


# NaPbCF2

A relaxed structure of NaPbCF2 (PBE, Alexandria via LeMat-Bulk).

Properties
Volume in A^3/atom: 20.6
Formation energy from raw total energies in eV/atom: -0.489
M_tot in μB/f.u.: 1.8

Cell lengths 4.738, 4.738, 4.592 Å; angles 90.00, 90.00, 90.00 degrees
Fractional positions:
Na: 0.000 0.000 0.000
Pb: 0.500 0.500 0.500
C: 0.500 0.500 0.000
F: 0.000 0.500 0.500
F: 0.500 0.000 0.500


# Cs2AgHg2

A relaxed structure of Cs2AgHg2 (PBE, Alexandria via LeMat-Bulk).

Properties
Uncorrected energy in eV/atom: -1.198
Volume in A^3/atom: 41.9
M_tot in μB/f.u.: 0.0

Cell lengths 7.238, 7.238, 13.242 Å; angles 115.98, 115.98, 43.22 degrees
Fractional positions:
Cs: 0.006 0.006 0.345
Cs: 0.201 0.201 0.116
Cs: 0.799 0.799 0.884
Cs: 0.994 0.994 0.655
Ag: 0.286 0.286 0.656
Ag: 0.714 0.714 0.344
Hg: 0.320 0.320 0.439
Hg: 0.498 0.498 0.880
Hg: 0.502 0.502 0.120
Hg: 0.680 0.680 0.561


# CePrErIn

A relaxed structure of CePrErIn (PBE, Alexandria via LeMat-Bulk).

Properties
Uncorrected energy in eV/atom: -4.576
Volume in A^3/atom: 28.8
M_tot in μB/f.u.: 0.0

Cell lengths 5.461, 5.461, 5.461 Å; angles 60.00, 60.00, 60.00 degrees
Fractional positions:
Ce: 0.000 0.000 0.000
Pr: 0.250 0.250 0.250
Er: 0.750 0.750 0.750
In: 0.500 0.500 0.500


# Na8CaTl6

A relaxed structure of Na8CaTl6 (PBE, Alexandria via LeMat-Bulk).

Properties
Uncorrected energy in eV/atom: -1.877
Volume in A^3/atom: 32.4
M_tot in μB/f.u.: 0.0

Cell lengths 8.445, 8.445, 8.445 Å; angles 66.57, 66.57, 66.57 degrees
Fractional positions:
Na: 0.036 0.385 0.715
Na: 0.160 0.160 0.160
Na: 0.285 0.964 0.615
Na: 0.385 0.715 0.036
Na: 0.615 0.285 0.964
Na: 0.715 0.036 0.385
Na: 0.840 0.840 0.840
Na: 0.964 0.615 0.285
Ca: 0.500 0.500 0.500
Tl: 0.117 0.794 0.460
Tl: 0.206 0.540 0.883
Tl: 0.460 0.117 0.794
Tl: 0.540 0.883 0.206
Tl: 0.794 0.460 0.117
Tl: 0.883 0.206 0.540


# MnCr3Pd

A relaxed structure of MnCr3Pd (PBE, Alexandria via LeMat-Bulk).

Properties
Uncorrected energy in eV/atom: -7.632
Volume in A^3/atom: 14.5
M_tot in μB/f.u.: 0.0

Cell lengths 4.166, 4.166, 4.166 Å; angles 90.00, 90.00, 90.00 degrees
Fractional positions:
Mn: 0.000 0.000 0.000
Cr: 0.000 0.000 0.500
Cr: 0.000 0.500 0.000
Cr: 0.500 0.000 0.000
Pd: 0.500 0.500 0.500


Question: Among the records above, which one has the highest volume?
Answer: Cs2AgHg2


Question: What is the volume in the first record?
Answer: 38.6 A^3/atom


Question: Among the records above, which one has the highest M_tot?
Answer: Nd3MnTl3Se8


Question: The highest M_tot belongs to which entry?
Answer: Nd3MnTl3Se8